First-principles (PBE with a Hubbard U) data for a geometry-optimized LiFePO4 structure, as listed in Alexandria via LeMat-Bulk.

Structure (POSCAR):
```
LiFePO4
1.0
5.317 0.000 0.000
0.000 8.048 0.054
0.000 2.213 8.315
Fe O Li P
4 16 4 4
Cartesian
0.879 1.628 4.649
3.626 5.838 6.394
4.438 0.522 0.491
1.691 4.732 2.237
3.623 9.451 7.462
4.260 2.123 4.188
1.694 8.345 3.304
3.143 6.648 4.613
4.407 7.047 7.836
1.705 5.286 6.994
4.309 6.614 1.395
3.612 4.179 2.837
2.174 5.541 0.455
0.580 3.007 2.539
1.057 1.017 0.031
1.594 3.039 5.853
4.737 4.113 6.696
3.724 1.933 1.695
0.910 5.941 3.679
1.008 7.720 5.552
4.349 6.001 3.213
0.968 7.107 7.371
3.525 2.589 5.919
1.792 1.483 1.761
0.967 3.936 6.960
3.621 6.030 0.128
1.696 7.137 4.285
4.351 2.830 2.803
```

Calculated values
The value obtained for the total magnetization is 4.0 μB per formula unit. The energy is -189.95 eV for the cell shown. The value obtained for the volume is 355 Å³ per cell. Its energy above the lowest structure with this stoichiometry is 0.0486 eV per atom. Its density of states at the Fermi level is 0.0 states/eV per cell. As for the density: 2.95 g/cm³.